Material: TaCoPd3
Method: DFT, GGA-PBEsol
State: optimized geometry

## Properties
ΔE_f ... 33.27 kcal/mol of atoms

Structure (CIF):
```
data_TaCoPd3
_chemical_formula_sum 'Ta1 Co1 Pd3'
_cell_length_a 4.710
_cell_length_b 4.710
_cell_length_c 4.710
_cell_angle_alpha 90.00
_cell_angle_beta 90.00
_cell_angle_gamma 90.00
_space_group_name_H-M_alt 'P m -3 m'
_space_group_IT_number 221
_space_group_name_Hall '-P 4 2 3'
loop_
_atom_site_label
_atom_site_type_symbol
_atom_site_fract_x
_atom_site_fract_y
_atom_site_fract_z
_atom_site_occupancy
Ta1 Ta 0.000 0.000 0.000 1
Co1 Co 0.500 0.500 0.500 1
Pd1 Pd 0.000 0.000 0.500 1
```